[1]
The following is a PBE calculation of a relaxed CdNi2As crystal, from the Alexandria database.

Geometry as extended XYZ:
```
4
Lattice="1.949 1.125 4.933 -1.949 1.125 4.933 0.000 -2.251 4.933" Properties=species:S:1:pos:R:3 pbc="T T T"
Cd 0.000 0.000 0.000
Ni 0.000 0.000 3.044
Ni 0.000 0.000 6.548
As 0.000 0.000 12.089
```

Summary:
* crystal system: trigonal
* total magnetic moment: 0.00 μB/atom
* formation enthalpy at 0 K: -32 meV/atom
* polymorph energy (0 for the lowest one): 22.8 meV per atom

=====

[2]
The following is a PBE calculation of a relaxed Pm2ErGe3Rh4 crystal, from the Alexandria database.

Geometry as extended XYZ:
```
10
Lattice="4.174 0.000 0.000 0.000 4.174 0.000 0.000 0.000 11.172" Properties=species:S:1:pos:R:3 pbc="T T T"
Pm 0.000 2.087 2.566
Pm 2.087 0.000 8.606
Er 0.000 0.000 5.586
Ge 0.000 2.087 9.806
Ge 2.087 0.000 1.367
Ge 2.087 2.087 5.586
Rh 0.000 0.000 0.000
Rh 0.000 2.087 7.340
Rh 2.087 0.000 3.832
Rh 2.087 2.087 0.000
```

Summary:
* crystal system: tetragonal
* total magnetic moment: 0.00 μB/atom
* formation enthalpy at 0 K: -893 meV/atom

=====

[3]
The following is a PBE calculation of a relaxed GePd2Au crystal, from the Alexandria database.

Geometry as extended XYZ:
```
4
Lattice="2.102 1.213 4.419 -2.102 1.213 4.419 0.000 -2.427 4.419" Properties=species:S:1:pos:R:3 pbc="T T T"
Ge 0.000 0.000 0.000
Pd 0.000 0.000 3.613
Pd 0.000 0.000 9.643
Au 0.000 0.000 6.628
```

Summary:
* crystal system: trigonal
* total magnetic moment: 0.00 μB/atom
* formation enthalpy at 0 K: -236 meV/atom

=====

[4]
The following is a PBE calculation of a relaxed RbBa4H8 crystal, from the Alexandria database.

Geometry as extended XYZ:
```
13
Lattice="6.526 0.000 0.000 0.000 6.526 0.000 0.000 0.000 6.526" Properties=species:S:1:pos:R:3 pbc="T T T"
Rb 0.000 0.000 0.000
Ba 0.000 0.000 3.263
Ba 0.000 3.263 0.000
Ba 3.263 0.000 0.000
Ba 3.263 3.263 3.263
H 1.578 1.578 1.578
H 1.578 1.578 4.948
H 1.578 4.948 1.578
H 1.578 4.948 4.948
H 4.948 1.578 1.578
H 4.948 1.578 4.948
H 4.948 4.948 1.578
H 4.948 4.948 4.948
```

Summary:
* crystal system: cubic
* total magnetic moment: 0.00 μB/atom
* E_tot: -3.04 eV per atom

=====

[5]
The following is a PBE calculation of a relaxed YPOs2 crystal, from the Alexandria database.

Geometry as extended XYZ:
```
4
Lattice="-1.935 1.935 4.357 1.935 -1.935 4.357 1.935 1.935 -4.357" Properties=species:S:1:pos:R:3 pbc="T T T"
Y 0.000 0.000 0.000
P 0.000 1.935 2.178
Os 1.935 0.000 2.178
Os 0.000 0.000 4.357
```

Summary:
* crystal system: tetragonal
* total magnetic moment: 0.00 μB/atom
* formation enthalpy at 0 K: 267 meV/atom

=====

[6]
The following is a PBE calculation of a relaxed OsS2ClO crystal, from the Alexandria database.

Geometry as extended XYZ:
```
5
Lattice="4.492 0.000 0.000 0.000 4.492 0.000 0.000 0.000 4.834" Properties=species:S:1:pos:R:3 pbc="T T T"
Os 0.000 0.000 0.000
S 0.000 2.246 0.000
S 2.246 0.000 0.000
Cl 0.000 0.000 2.417
O 2.246 2.246 2.417
```

Summary:
* E_form (uncorrected): 0.923 eV per atom
* crystal system: tetragonal
* total magnetic moment: 0.00 μB/atom
* polymorph energy (0 for the lowest one): 0.0 meV per atom